Record 1
DFT (PBE) results for crystalline Sr2MoIr at its relaxed geometry.

Output
Mass density ... 7.413 g/cm3
DFT formation energy ... 846 meV/atom
Total moment ... 4.130 μB/f.u.

```
Sr2MoIr
1.0
3.652 0.000 0.000
0.000 4.033 0.000
0.000 0.000 7.046
Sr Ir Mo
2 1 1
Direct
0.000 0.000 0.022 Sr
0.000 0.000 0.478 Sr
0.500 0.500 0.250 Ir
0.500 0.500 0.750 Mo
```

=====

Record 2
DFT (PBE) results for crystalline SrMoIr2 at its relaxed geometry.

Output
Mass density ... 13.196 g/cm3
DFT formation energy ... 689 meV/atom
Total moment ... 0.884 μB/f.u.

```
SrMoIr2
1.0
2.813 0.000 0.000
0.000 5.390 -0.013
0.000 3.326 4.706
Ir Mo Sr
2 1 1
Direct
0.500 0.500 0.000 Ir
0.000 0.000 0.000 Ir
0.500 0.500 0.500 Mo
0.000 0.000 0.500 Sr
```